[1]
VASP calculation (PBE) on Sn2GePt9 after structural relaxation.

The structure belongs to space group P4/mmm (No. 123); the cell edges are 4.038, 4.038 and 12.057 Å and the angles 90.00°, 90.00° and 90.00°. Symmetry generates all atoms from Sn at (0.000, 0.000, 0.169), Ge at (0.000, 0.000, 0.500), Pt at (0.000, 0.500, 0.000), Pt at (0.000, 0.500, 0.340), Pt at (0.500, 0.500, 0.170) and Pt at (0.500, 0.500, 0.500).

The energy of formation from the pure elements is -348 meV/atom. Its total moment is 0.00 μB/f.u.


[2]
VASP calculation (PBE) on SnGePt6 after structural relaxation.

The structure belongs to space group P4/mmm (No. 123); the cell edges are 4.023, 4.023 and 8.010 Å and the angles 90.00°, 90.00° and 90.00°. Symmetry generates all atoms from Sn at (0.000, 0.000, 0.000), Ge at (0.000, 0.000, 0.500), Pt at (0.000, 0.500, 0.257), Pt at (0.500, 0.500, 0.000) and Pt at (0.500, 0.500, 0.500).

The energy of formation from the pure elements is -322 meV/atom. Its total moment is 0.00 μB/f.u. As for the polymorph energy (0 for the lowest one): 0.000 eV per atom.


[3]
VASP calculation (PBE) on SnGePt2 after structural relaxation.

The structure belongs to space group Fm-3m (No. 225); the cell edges are 6.585, 6.585 and 6.585 Å and the angles 90.00°, 90.00° and 90.00°. Symmetry generates all atoms from Sn at (0.000, 0.000, 0.000), Ge at (0.000, 0.000, 0.500) and Pt at (0.250, 0.250, 0.250).

The energy of formation from the pure elements is -186 meV/atom. Its total moment is 0.00 μB/f.u.


[4]
VASP calculation (PBE) on SnGePt2 after structural relaxation.

The structure belongs to space group I-42d (No. 122); the cell edges are 5.747, 5.747 and 11.942 Å and the angles 90.00°, 90.00° and 90.00°. Symmetry generates all atoms from Sn at (0.000, 0.000, 0.000), Ge at (0.000, 0.000, 0.500) and Pt at (0.218, 0.250, 0.625).

The energy of formation from the pure elements is -203 meV/atom. Its total moment is 0.00 μB/f.u.


[5]
VASP calculation (PBE) on SnGePt6 after structural relaxation.

The structure belongs to space group C2/m (No. 12); the cell edges are 7.672, 5.550 and 7.349 Å and the angles 90.00°, 112.59° and 90.00°. Symmetry generates all atoms from Sn at (0.000, 0.000, 0.000), Ge at (0.000, 0.500, 0.500), Pt at (0.165, 0.000, 0.454) and Pt at (0.186, 0.240, 0.794).

The energy of formation from the pure elements is -194 meV/atom. Its total moment is 0.00 μB/f.u. As for the polymorph energy (0 for the lowest one): 0.128 eV per atom.


[6]
VASP calculation (PBE) on SnGePt2 after structural relaxation.

The structure belongs to space group R3m (No. 160, hexagonal axes); the cell edges are 3.7947, 3.7947 and 18.6576 Å and the angles 90.00°, 90.00° and 120.00°. Symmetry generates all atoms from Sn at (0.0000, 0.0000, 0.0000), Ge at (0.0000, 0.0000, 0.1699), Pt at (0.0000, 0.0000, 0.5746) and Pt at (0.0000, 0.0000, 0.7605).

The energy of formation from the pure elements is -276 meV/atom. Its total moment is 0.00 μB/f.u.